Entry from Alexandria via LeMat-Bulk: LiHoLuMg after structural relaxation (GGA-PBE).

```
data_LiHoLuMg
_symmetry_space_group_name_H-M 'F -4 3 m'
_symmetry_Int_Tables_number 216
_symmetry_space_group_name_Hall 'F -4 2 3'
_cell_length_a 7.4415
_cell_length_b 7.4415
_cell_length_c 7.4415
_cell_angle_alpha 90.00
_cell_angle_beta 90.00
_cell_angle_gamma 90.00
loop_
_atom_site_label
_atom_site_fract_x
_atom_site_fract_y
_atom_site_fract_z
Li1 0.0000 0.0000 0.0000
Ho1 0.2500 0.2500 0.7500
Lu1 0.2500 0.2500 0.2500
Mg1 0.0000 0.0000 0.5000
```

Results
Total magnetic moment: 0.0263 μB/atom
Total DFT energy (no corrections): -3.0869 eV per atom

Entry from Alexandria via LeMat-Bulk: LiNdHoLu after structural relaxation (GGA-PBE).

```
data_LiNdHoLu
_symmetry_space_group_name_H-M 'F -4 3 m'
_symmetry_Int_Tables_number 216
_symmetry_space_group_name_Hall 'F -4 2 3'
_cell_length_a 7.7533
_cell_length_b 7.7533
_cell_length_c 7.7533
_cell_angle_alpha 90.00
_cell_angle_beta 90.00
_cell_angle_gamma 90.00
loop_
_atom_site_label
_atom_site_fract_x
_atom_site_fract_y
_atom_site_fract_z
Li1 0.0000 0.0000 0.0000
Nd1 0.2500 0.2500 0.2500
Ho1 0.2500 0.2500 0.7500
Lu1 0.0000 0.0000 0.5000
```

Results
Total magnetic moment: 0.0000 μB/atom
Total DFT energy (no corrections): -3.7916 eV per atom

Entry from Alexandria via LeMat-Bulk: LiHoLuNi after structural relaxation (GGA-PBE).

```
data_LiHoLuNi
_symmetry_space_group_name_H-M 'F -4 3 m'
_symmetry_Int_Tables_number 216
_symmetry_space_group_name_Hall 'F -4 2 3'
_cell_length_a 6.8646
_cell_length_b 6.8646
_cell_length_c 6.8646
_cell_angle_alpha 90.00
_cell_angle_beta 90.00
_cell_angle_gamma 90.00
loop_
_atom_site_label
_atom_site_fract_x
_atom_site_fract_y
_atom_site_fract_z
Li1 0.0000 0.0000 0.0000
Ho1 0.2500 0.2500 0.2500
Lu1 0.2500 0.2500 0.7500
Ni1 0.0000 0.0000 0.5000
```

Results
Total magnetic moment: 0.0000 μB/atom
Total DFT energy (no corrections): -4.3742 eV per atom

Entry from Alexandria via LeMat-Bulk: LiHoLuPd after structural relaxation (GGA-PBE).

```
data_LiHoLuPd
_symmetry_space_group_name_H-M 'F -4 3 m'
_symmetry_Int_Tables_number 216
_symmetry_space_group_name_Hall 'F -4 2 3'
_cell_length_a 7.0157
_cell_length_b 7.0157
_cell_length_c 7.0157
_cell_angle_alpha 90.00
_cell_angle_beta 90.00
_cell_angle_gamma 90.00
loop_
_atom_site_label
_atom_site_fract_x
_atom_site_fract_y
_atom_site_fract_z
Li1 0.0000 0.0000 0.0000
Ho1 0.2500 0.2500 0.7500
Lu1 0.2500 0.2500 0.2500
Pd1 0.0000 0.0000 0.5000
```

Results
Total magnetic moment: 0.0001 μB/atom
Total DFT energy (no corrections): -4.4984 eV per atom

Entry from Alexandria via LeMat-Bulk: LiPmHoLu after structural relaxation (GGA-PBE).

```
data_LiPmHoLu
_symmetry_space_group_name_H-M 'F -4 3 m'
_symmetry_Int_Tables_number 216
_symmetry_space_group_name_Hall 'F -4 2 3'
_cell_length_a 7.7314
_cell_length_b 7.7314
_cell_length_c 7.7314
_cell_angle_alpha 90.00
_cell_angle_beta 90.00
_cell_angle_gamma 90.00
loop_
_atom_site_label
_atom_site_fract_x
_atom_site_fract_y
_atom_site_fract_z
Li1 0.0000 0.0000 0.0000
Pm1 0.2500 0.2500 0.2500
Ho1 0.2500 0.2500 0.7500
Lu1 0.0000 0.0000 0.5000
```

Results
Total magnetic moment: 0.0000 μB/atom
Total DFT energy (no corrections): -3.7860 eV per atom

Entry from Alexandria via LeMat-Bulk: LiPrHoLu after structural relaxation (GGA-PBE).

```
data_LiPrHoLu
_symmetry_space_group_name_H-M 'F -4 3 m'
_symmetry_Int_Tables_number 216
_symmetry_space_group_name_Hall 'F -4 2 3'
_cell_length_a 7.7782
_cell_length_b 7.7782
_cell_length_c 7.7782
_cell_angle_alpha 90.00
_cell_angle_beta 90.00
_cell_angle_gamma 90.00
loop_
_atom_site_label
_atom_site_fract_x
_atom_site_fract_y
_atom_site_fract_z
Li1 0.0000 0.0000 0.0000
Pr1 0.2500 0.2500 0.7500
Ho1 0.2500 0.2500 0.2500
Lu1 0.0000 0.0000 0.5000
```

Results
Total magnetic moment: 0.0001 μB/atom
Total DFT energy (no corrections): -3.7956 eV per atom